NdAlAu4 GGA-PBE relaxed; energy relative to the elements = -0.425 eV/atom; SG = P-1
1.0
4.9627 -0.0045 0.0361
0.0084 6.5303 0.1767
-2.4131 -2.5796 8.1016
Nd Al Au
2 2 8
direct
0.7500 0.7500 0.0000 Nd
0.2500 0.2500 0.0000 Nd
0.5000 0.0000 0.5000 Al
0.0000 0.5000 0.5000 Al
0.6617 0.1020 0.8141 Au
0.8384 0.3980 0.1859 Au
0.3383 0.8980 0.1859 Au
0.1616 0.6020 0.8141 Au
0.0708 0.9119 0.6301 Au
0.4292 0.5882 0.3699 Au
0.9292 0.0881 0.3699 Au
0.5708 0.4118 0.6301 Au

***

Mn2CoCl GGA-PBE relaxed; energy relative to the elements, uncorrected = 0.32 eV per atom; SG = R3m
1.0
7.8863 -0.1183 -0.0697
7.3769 2.7908 -0.0697
7.3769 1.2917 2.4749
Mn Co Cl
2 1 1
direct
0.0043 0.0043 0.0043 Mn
0.2494 0.2494 0.2494 Mn
0.7416 0.7416 0.7416 Co
0.5047 0.5047 0.5047 Cl

***

Ca2Al3InAg4 GGA-PBE relaxed; energy relative to the elements = -0.233 eV/atom; SG = P-4m2
1.0
-3.0460 0.9781 -2.8896
1.5811 -2.9860 -2.6774
-7.1198 -8.0547 4.7787
Ca Al In Ag
2 3 1 4
direct
0.5000 0.0000 0.2438 Ca
0.0000 0.5000 0.7562 Ca
0.0000 0.0000 0.5000 Al
0.5000 0.0000 0.8695 Al
0.0000 0.5000 0.1305 Al
0.5000 0.5000 0.5000 In
0.5000 0.5000 0.0000 Ag
0.0000 0.0000 0.0000 Ag
0.5000 0.0000 0.6522 Ag
0.0000 0.5000 0.3478 Ag

***

Zn5Cl GGA-PBE relaxed; energy relative to the elements, uncorrected = 0.05 eV per atom; SG = P6/mmm
1.0
2.8218 -4.8875 0.0000
2.8218 4.8875 0.0000
0.0000 0.0000 4.1634
Zn Cl
5 1
direct
0.3333 0.6667 0.0000 Zn
0.6667 0.3333 0.0000 Zn
0.5000 0.0000 0.5000 Zn
0.0000 0.5000 0.5000 Zn
0.5000 0.5000 0.5000 Zn
0.0000 0.0000 0.0000 Cl

***

Zr2RuCl GGA-PBE relaxed; energy relative to the elements, uncorrected = -0.31 eV per atom; SG = P4mm
1.0
-2.5721 -0.1777 2.0473
2.0535 -0.0988 2.5714
-0.1908 8.1031 0.4636
Cl Ru Zr
1 1 2
direct
0.0000 0.0000 0.4461 Cl
0.5000 0.5000 0.8279 Ru
0.0000 0.0000 0.9809 Zr
0.5000 0.5000 0.2450 Zr

***

LiAlGe GGA-PBE relaxed; energy relative to the elements = 0.017 eV/atom; SG = Cmmm
1.0
12.8482 -1.4279 0.0000
12.8482 1.4279 0.0000
0.0000 0.0000 2.8657
Ge Al Li
2 2 2
direct
0.2066 0.2066 0.5000 Ge
0.7934 0.7934 0.5000 Ge
0.9485 0.9485 0.5000 Al
0.0515 0.0515 0.5000 Al
0.6306 0.6306 0.0000 Li
0.3694 0.3694 0.0000 Li

***

DyZrSc2As4 GGA-PBE relaxed; energy relative to the elements = -1.352 eV/atom; SG = P2/m
1.0
-0.2081 -1.3738 -3.6817
6.4330 -2.1191 0.4271
0.1224 -6.3892 2.3771
Dy Zr Sc As
1 1 2 4
direct
0.5000 0.5000 0.0000 Dy
0.0000 0.5000 0.5000 Zr
0.0000 0.0000 0.0000 Sc
0.5000 0.0000 0.5000 Sc
0.0000 0.7605 0.7397 As
0.0000 0.2395 0.2603 As
0.5000 0.7558 0.2546 As
0.5000 0.2442 0.7454 As

***

Mg9Ga4Pd11 GGA-PBE relaxed; energy relative to the elements = -0.672 eV/atom; SG = Cmmm
1.0
-0.9839 2.5260 1.3194
-6.2975 -6.4521 7.6567
10.9499 2.2434 3.8705
Mg Ga Pd
9 4 11
direct
0.5000 0.6275 0.1442 Mg
0.5000 0.3725 0.8558 Mg
0.5000 0.1442 0.6275 Mg
0.5000 0.8558 0.3725 Mg
0.5000 0.7946 0.9562 Mg
0.5000 0.2054 0.0438 Mg
0.5000 0.9562 0.7946 Mg
0.5000 0.0438 0.2054 Mg
0.5000 0.5000 0.5000 Mg
0.5000 0.5560 0.7535 Ga
0.5000 0.4440 0.2465 Ga
0.5000 0.7535 0.5560 Ga
0.5000 0.2465 0.4440 Ga
0.0000 0.5926 0.9407 Pd
0.0000 0.4074 0.0593 Pd
0.0000 0.9407 0.5926 Pd
0.0000 0.0593 0.4074 Pd
0.0000 0.6318 0.3682 Pd
0.0000 0.3682 0.6318 Pd
0.0000 0.8337 0.1663 Pd
0.0000 0.1663 0.8337 Pd
0.0000 0.0000 0.0000 Pd
0.0000 0.7188 0.7188 Pd
0.0000 0.2812 0.2812 Pd

***

K2NbPb2O6 GGA-PBE relaxed; energy relative to the elements, uncorrected = -1.66 eV per atom; SG = C2/m
1.0
-4.8598 -1.8121 3.0026
0.6044 -1.7824 -5.6898
4.5138 -3.9722 2.8239
K Nb Pb O
2 1 2 6
direct
0.8292 0.1708 0.0000 K
0.1708 0.8292 0.0000 K
0.0000 0.0000 0.5000 Nb
0.3357 0.6643 0.5000 Pb
0.6643 0.3357 0.5000 Pb
0.7926 0.7926 0.6855 O
0.0532 0.3437 0.6802 O
0.2074 0.2074 0.3145 O
0.3437 0.0532 0.6802 O
0.9468 0.6563 0.3198 O
0.6563 0.9468 0.3198 O

***

Mg2Be2Cd GGA-PBE relaxed; energy relative to the elements = 0.219 eV/atom; SG = P4/mbm
1.0
6.5542 0.0000 0.0000
0.0000 6.5542 0.0000
0.0000 0.0000 3.7908
Be Mg Cd
4 4 2
direct
0.3816 0.8816 0.0000 Be
0.8816 0.6184 0.0000 Be
0.6184 0.1184 0.0000 Be
0.1184 0.3816 0.0000 Be
0.1684 0.6684 0.5000 Mg
0.6684 0.8316 0.5000 Mg
0.8316 0.3316 0.5000 Mg
0.3316 0.1684 0.5000 Mg
0.0000 0.0000 0.0000 Cd
0.5000 0.5000 0.0000 Cd

***

Y2FeBiIr GGA-PBE relaxed; energy relative to the elements = 0.352 eV/atom; SG = P4/mmm
1.0
5.3667 0.0000 0.0000
0.0000 5.1510 0.0000
0.0000 0.0000 5.3667
Y Ir Bi Fe
2 1 1 1
direct
0.0000 0.0000 0.5000 Y
0.5000 0.0000 0.0000 Y
0.0000 0.0000 0.0000 Ir
0.0000 0.5000 0.0000 Bi
0.5000 0.5000 0.5000 Fe

***

BaAs2 GGA-PBE relaxed; energy relative to the elements = -0.657 eV/atom; SG = P-62m
1.0
6.7445 5.9182 2.4932
-8.4007 0.5700 3.9791
1.2085 -2.6095 2.9252
Ba As
3 6
direct
0.3333 0.6667 0.0000 Ba
0.6667 0.3333 0.0000 Ba
0.0000 0.0000 0.5000 Ba
0.2806 0.0000 0.0000 As
0.0000 0.2806 0.0000 As
0.7194 0.7194 0.0000 As
0.4387 0.0000 0.5000 As
0.0000 0.4387 0.5000 As
0.5613 0.5613 0.5000 As

***

SmY8Ho6 GGA-PBE relaxed; energy relative to the elements = 0.187 eV/atom; SG = R-3
1.0
-1.2826 7.5214 -5.9740
-8.9496 2.6346 -2.6210
-3.7012 7.0472 1.8076
Sm Y Ho
1 8 6
direct
0.0000 0.0000 0.0000 Sm
0.3586 0.2285 0.4850 Y
0.7715 0.0721 0.5150 Y
0.0721 0.6414 0.5150 Y
0.5868 0.5868 0.2395 Y
0.4132 0.4132 0.7605 Y
0.9279 0.3586 0.4850 Y
0.2285 0.9279 0.4850 Y
0.6414 0.7715 0.5150 Y
0.3905 0.9316 0.9643 Ho
0.0684 0.2865 0.0357 Ho
0.2865 0.6095 0.0357 Ho
0.7135 0.3905 0.9643 Ho
0.9316 0.7135 0.9643 Ho
0.6095 0.0684 0.0357 Ho

***

Ca2PRh GGA-PBE relaxed; energy relative to the elements = -0.543 eV/atom; SG = I4/mmm
1.0
-3.8340 1.7593 2.7379
-3.6684 -0.1516 -3.4366
3.0204 -3.8178 1.2619
Ca P Rh
2 1 1
direct
0.0000 0.0000 0.0000 Ca
0.5000 0.5000 0.0000 Ca
0.7500 0.2500 0.5000 P
0.2500 0.7500 0.5000 Rh

***

BaAg2Rh GGA-PBE relaxed; energy relative to the elements = 0.257 eV/atom; SG = Fm-3m
1.0
0.0000 3.6141 3.6141
3.6141 0.0000 3.6141
3.6141 3.6141 0.0000
Rh Ba Ag
1 1 2
direct
0.0000 0.0000 0.0000 Rh
0.5000 0.5000 0.5000 Ba
0.2500 0.2500 0.2500 Ag
0.7500 0.7500 0.7500 Ag

***

Cr2MoW GGA-PBE relaxed; energy relative to the elements = 0.066 eV/atom; SG = Imm2
1.0
-0.3870 1.5621 -4.7668
-4.6192 0.2234 -1.9813
2.9787 1.6636 3.6976
Cr Mo W
2 1 1
direct
0.9975 0.9975 0.0000 Cr
0.7521 0.2521 0.5000 Cr
0.5034 0.5034 0.0000 Mo
0.2470 0.7470 0.5000 W

***

ScAl4Rh5 GGA-PBE relaxed; energy relative to the elements = -1.064 eV/atom; SG = P4/mmm
1.0
-0.2017 0.9078 -2.8800
-1.2861 -2.6373 -0.7413
-13.9804 6.0100 2.8739
Sc Al Rh
1 4 5
direct
0.0000 0.0000 0.0000 Sc
0.0000 0.0000 0.2076 Al
0.0000 0.0000 0.4029 Al
0.0000 0.0000 0.5971 Al
0.0000 0.0000 0.7924 Al
0.5000 0.5000 0.1140 Rh
0.5000 0.5000 0.3071 Rh
0.5000 0.5000 0.5000 Rh
0.5000 0.5000 0.6929 Rh
0.5000 0.5000 0.8860 Rh

***

BaZn3Si3 GGA-PBE relaxed; energy relative to the elements, uncorrected = -0.09 eV per atom; SG = P2_1/m
1.0
-0.1391 -3.7809 -1.8453
8.1704 1.2241 -3.1239
-6.1090 -4.7406 10.1735
Ba Zn Si
2 6 6
direct
0.7500 0.5526 0.7706 Ba
0.2500 0.4474 0.2294 Ba
0.7500 0.6352 0.1146 Zn
0.7500 0.0432 0.2063 Zn
0.7500 0.8915 0.5953 Zn
0.2500 0.3648 0.8854 Zn
0.2500 0.9568 0.7937 Zn
0.2500 0.1085 0.4047 Zn
0.7500 0.9403 0.4210 Si
0.7500 0.1912 0.9071 Si
0.7500 0.4783 0.4443 Si
0.2500 0.0597 0.5790 Si
0.2500 0.8088 0.0929 Si
0.2500 0.5217 0.5557 Si

***

NdAl2Re2C GGA-PBE relaxed; energy relative to the elements = -0.273 eV/atom; SG = P4/mmm
1.0
-0.5586 3.5879 -2.0809
-1.4356 -2.1372 -3.2995
-5.2925 0.3718 2.0619
Nd Al Re C
1 2 2 1
direct
0.0000 0.0000 0.5000 Nd
0.5000 0.5000 0.7271 Al
0.5000 0.5000 0.2729 Al
0.5000 0.0000 0.0000 Re
0.0000 0.5000 0.0000 Re
0.0000 0.0000 0.0000 C

***

VCr2Mo2 GGA-PBE relaxed; energy relative to the elements = 0.255 eV/atom; SG = Cmmm
1.0
-2.3807 -1.2260 -1.1475
1.6493 -1.3473 -1.9822
1.6903 -7.1473 4.1295
V Cr Mo
1 2 2
direct
0.0000 0.0000 0.0000 V
0.5000 0.4117 0.1766 Cr
0.5000 0.5883 0.8234 Cr
0.0000 0.1812 0.6375 Mo
0.0000 0.8188 0.3625 Mo